1.
Compound: In2AsPb
Source: the Alexandria database
Functional: PBE-GGA
Structure: optimized geometry

a = 4.854 Å, b = 3.273 Å, c = 6.982 Å
α = 76.14°, β = 90.00°, γ = 90.00°
Fractional positions:
Pb 0.000 0.694 0.492
As 0.500 0.532 0.804
In 0.000 0.951 0.968
In 0.500 0.323 0.236

Computed properties:
For the formation energy, the calculation gives 72.6 meV per atom. As for the final energy: -3.39 eV/atom. The value obtained for the calculated density is 7.9 g/cm3. The calculation puts the relative energy among the computed polymorphs at 33 kJ/mol of formula units.

=====

2.
Compound: InAsPb2
Source: the Alexandria database
Functional: PBE-GGA
Structure: optimized geometry

a = 6.226 Å, b = 6.226 Å, c = 6.226 Å
α = 143.13°, β = 128.99°, γ = 64.59°
Fractional positions:
Pb 0.992 0.992 0.000
Pb 0.288 0.788 0.500
As 0.506 0.506 0.000
In 0.713 0.213 0.500

Computed properties:
For the formation energy, the calculation gives 48.4 meV per atom. As for the final energy: -3.65 eV/atom. The value obtained for the calculated density is 9.0 g/cm3. The calculation puts the relative energy among the computed polymorphs at 0 kJ/mol of formula units.

=====

3.
Compound: InAsPb2
Source: the Alexandria database
Functional: PBE-GGA
Structure: optimized geometry

a = 6.174 Å, b = 6.174 Å, c = 6.174 Å
α = 141.38°, β = 129.00°, γ = 65.76°
Fractional positions:
Pb 0.035 0.035 0.000
Pb 0.465 0.465 0.000
As 0.250 0.750 0.500
In 0.750 0.250 0.500

Computed properties:
For the formation energy, the calculation gives 73.5 meV per atom. As for the final energy: -3.63 eV/atom. The value obtained for the calculated density is 8.9 g/cm3. The calculation puts the relative energy among the computed polymorphs at 10 kJ/mol of formula units.

=====

4.
Compound: InAsPb2
Source: the Alexandria database
Functional: PBE-GGA
Structure: optimized geometry

a = 6.734 Å, b = 6.734 Å, c = 8.098 Å
α = 65.43°, β = 65.43°, γ = 90.00°
Fractional positions:
Pb 0.608 0.125 0.250
Pb 0.142 0.625 0.250
Pb 0.375 0.392 0.750
Pb 0.875 0.858 0.750
As 0.500 0.500 0.000
As 0.250 0.750 0.500
In 0.000 0.000 0.000
In 0.750 0.250 0.500

Computed properties:
For the formation energy, the calculation gives 152.0 meV per atom. As for the final energy: -3.55 eV/atom. The value obtained for the calculated density is 6.8 g/cm3. The calculation puts the relative energy among the computed polymorphs at 40 kJ/mol of formula units.

=====

5.
Compound: In2AsPb
Source: the Alexandria database
Functional: PBE-GGA
Structure: optimized geometry

a = 3.407 Å, b = 3.407 Å, c = 9.433 Å
α = 90.00°, β = 90.00°, γ = 102.23°
Fractional positions:
Pb 0.000 0.000 0.525
As 0.500 0.500 0.763
In 0.000 0.000 0.975
In 0.500 0.500 0.237

Computed properties:
For the formation energy, the calculation gives 110.5 meV per atom. As for the final energy: -3.35 eV/atom. The value obtained for the calculated density is 7.9 g/cm3. The calculation puts the relative energy among the computed polymorphs at 48 kJ/mol of formula units.

=====

6.
Compound: InAs2Pb2
Source: the Alexandria database
Functional: PBE-GGA
Structure: optimized geometry

a = 8.094 Å, b = 8.094 Å, c = 4.106 Å
α = 90.00°, β = 90.00°, γ = 90.00°
Fractional positions:
Pb 0.149 0.649 0.500
Pb 0.649 0.851 0.500
Pb 0.851 0.351 0.500
Pb 0.351 0.149 0.500
As 0.336 0.836 0.000
As 0.836 0.664 0.000
As 0.664 0.164 0.000
As 0.164 0.336 0.000
In 0.000 0.000 0.000
In 0.500 0.500 0.000

Computed properties:
For the formation energy, the calculation gives 82.2 meV per atom. As for the final energy: -3.81 eV/atom. The value obtained for the calculated density is 8.4 g/cm3. The calculation puts the relative energy among the computed polymorphs at 0 kJ/mol of formula units.

=====

7.
Compound: InAsPb2
Source: the Alexandria database
Functional: PBE-GGA
Structure: optimized geometry

a = 8.384 Å, b = 8.384 Å, c = 8.384 Å
α = 28.73°, β = 28.73°, γ = 28.73°
Fractional positions:
Pb 0.988 0.988 0.988
Pb 0.512 0.512 0.512
As 0.250 0.250 0.250
In 0.750 0.750 0.750

Computed properties:
For the formation energy, the calculation gives 57.9 meV per atom. As for the final energy: -3.64 eV/atom. The value obtained for the calculated density is 8.3 g/cm3. The calculation puts the relative energy among the computed polymorphs at 4 kJ/mol of formula units.

=====

8.
Compound: InAsPb2
Source: the Alexandria database
Functional: PBE-GGA
Structure: optimized geometry

a = 5.773 Å, b = 5.773 Å, c = 5.773 Å
α = 129.88°, β = 129.88°, γ = 73.60°
Fractional positions:
Pb 0.000 0.000 0.000
Pb 0.500 0.500 0.000
As 0.250 0.750 0.500
In 0.750 0.250 0.500

Computed properties:
For the formation energy, the calculation gives 104.4 meV per atom. As for the final energy: -3.60 eV/atom. The value obtained for the calculated density is 9.1 g/cm3. The calculation puts the relative energy among the computed polymorphs at 22 kJ/mol of formula units.

=====

9.
Compound: InAsPb2
Source: the Alexandria database
Functional: PBE-GGA
Structure: optimized geometry

a = 5.018 Å, b = 5.021 Å, c = 4.399 Å
α = 90.00°, β = 90.00°, γ = 90.00°
Fractional positions:
Pb 0.000 0.000 0.000
Pb 0.500 0.500 0.000
As 0.500 0.000 0.500
In 0.000 0.500 0.500

Computed properties:
For the formation energy, the calculation gives 85.0 meV per atom. As for the final energy: -3.62 eV/atom. The value obtained for the calculated density is 9.1 g/cm3. The calculation puts the relative energy among the computed polymorphs at 14 kJ/mol of formula units.

=====

10.
Compound: In2AsPb
Source: the Alexandria database
Functional: PBE-GGA
Structure: optimized geometry

a = 6.664 Å, b = 6.664 Å, c = 7.804 Å
α = 64.73°, β = 64.73°, γ = 90.00°
Fractional positions:
Pb 0.000 0.000 0.000
Pb 0.750 0.250 0.500
As 0.500 0.500 0.000
As 0.250 0.750 0.500
In 0.591 0.125 0.250
In 0.159 0.625 0.250
In 0.375 0.409 0.750
In 0.875 0.841 0.750

Computed properties:
For the formation energy, the calculation gives 63.6 meV per atom. As for the final energy: -3.40 eV/atom. The value obtained for the calculated density is 6.2 g/cm3. The calculation puts the relative energy among the computed polymorphs at 29 kJ/mol of formula units.

=====

11.
Compound: InAsPb3
Source: the Alexandria database
Functional: PBE-GGA
Structure: optimized geometry

a = 5.651 Å, b = 5.651 Å, c = 5.651 Å
α = 90.00°, β = 90.00°, γ = 90.00°
Fractional positions:
Pb 0.000 0.500 0.000
Pb 0.000 0.000 0.500
Pb 0.500 0.000 0.000
As 0.000 0.000 0.000
In 0.500 0.500 0.500

Computed properties:
For the formation energy, the calculation gives 383.2 meV per atom. As for the final energy: -3.32 eV/atom. The value obtained for the calculated density is 7.5 g/cm3. The calculation puts the relative energy among the computed polymorphs at 0 kJ/mol of formula units.

=====

12.
Compound: In2AsPb
Source: the Alexandria database
Functional: PBE-GGA
Structure: optimized geometry

a = 6.016 Å, b = 6.016 Å, c = 3.278 Å
α = 90.00°, β = 90.00°, γ = 115.74°
Fractional positions:
Pb 0.500 0.000 0.500
As 0.000 0.500 0.500
In 0.000 0.000 0.000
In 0.500 0.500 0.000

Computed properties:
For the formation energy, the calculation gives 142.3 meV per atom. As for the final energy: -3.32 eV/atom. The value obtained for the calculated density is 8.0 g/cm3. The calculation puts the relative energy among the computed polymorphs at 60 kJ/mol of formula units.

=====

no.,D(E_F) (states/eV per atom)
1,0.229
2,0.540
3,0.426
4,0.153
5,0.401
6,0.560
7,0.532
8,0.589
9,0.487
10,0.429
11,0.711
12,0.649